1.
First-principles (PBE) data for an optimized crystal structure of KHoI4, as listed in Alexandria.

abc: 10.4812 10.4812 7.7845
angles: 99.79 99.79 121.31
With the nearest neighbours (Å) after each atom.
Sites, in units of the cell vectors:
K  0.2221  0.7779  0.7500  6 I 3.52-3.73
K  0.7779  0.2221  0.2500  6 I 3.52-3.73
Ho  0.0655  0.9345  0.2500  6 I 2.96-3.10
Ho  0.9345  0.0655  0.7500  6 I 2.96-3.10
I  0.0160  0.3714  0.7072  1 Ho 2.96
I  0.1194  0.2316  0.1573  2 Ho 3.06-3.10
I  0.2316  0.1194  0.6573  2 Ho 3.06-3.10
I  0.3714  0.0160  0.2072  1 Ho 2.96
I  0.6286  0.9840  0.7928  1 Ho 2.96
I  0.7684  0.8806  0.3427  2 Ho 3.06-3.10
I  0.8806  0.7684  0.8427  2 Ho 3.06-3.10
I  0.9840  0.6286  0.2928  1 Ho 2.96

Summary:
The value obtained for the density of states at the Fermi level is 0.00 states/eV per cell. For the calculated total energy, the calculation gives -3.394 eV/atom. As for the formation energy (no corrections): -8.49 eV/f.u. The calculation puts the energy above the lowest structure with this stoichiometry at 0.0000 eV per atom.

2.
First-principles (PBE) data for an optimized crystal structure of AgPSe2, as listed in Alexandria.

abc: 3.6207 3.6207 9.2162
angles: 90.00 90.00 128.62
With the nearest neighbours (Å) after each atom.
Sites, in units of the cell vectors:
Ag  0.0000  0.0000  0.0000  2 Se 2.65, 2 P 2.74
P  0.5000  0.5000  0.2441  2 Se 2.26
Se  0.0000  0.0000  0.4208  2 P 2.26
Se  0.5000  0.5000  0.7681  2 Ag 2.65

Summary:
The value obtained for the density of states at the Fermi level is 3.14 states/eV per cell. For the calculated total energy, the calculation gives -3.398 eV/atom. As for the formation energy (no corrections): 1.64 eV/f.u.

no.,theoretical density (g cm⁻³)
1,3.449
2,5.221